Record 1
Cs4KCuSb2 (PBE-GGA, optimized geometry); energy = -2.38 eV per atom
1.0
3.2418 1.8716 9.9226
-3.2418 1.8716 9.9226
0.0000 -3.7433 9.9226
Cu Sb Cs K
1 2 4 1
Cartesian
0.0000 0.0000 0.0000
0.0000 0.0000 2.5317
0.0000 0.0000 27.2360
0.0000 0.0000 23.3403
0.0000 0.0000 19.0312
0.0000 0.0000 10.7365
0.0000 0.0000 6.4274
0.0000 0.0000 14.8839



Record 2
YNbInNi (PBE-GGA, optimized geometry); energy = -6.05 eV per atom
1.0
0.0000 3.4200 3.4200
3.4200 0.0000 3.4200
3.4200 3.4200 0.0000
Y In Nb Ni
1 1 1 1
Cartesian
3.4200 3.4200 3.4200
0.0000 0.0000 0.0000
1.7100 1.7100 1.7100
5.1300 5.1300 5.1300



Record 3
Re11W2 (PBE-GGA, optimized geometry); energy = -12.35 eV per atom; ΔH_f (0 K) = 155 meV/atom
1.0
2.5329 1.4624 9.0564
-2.5329 1.4624 9.0564
0.0000 -2.9247 9.0564
Re W
11 2
Cartesian
0.0000 0.0000 17.7002
1.2459 -0.7193 20.2266
0.0000 0.0000 9.4689
-1.2459 0.7193 6.9426
0.0000 0.0000 12.3524
0.0000 0.0000 0.0000
0.0000 -1.4386 6.9426
0.0000 1.4386 20.2266
-1.2459 -0.7193 20.2266
1.2459 0.7193 6.9426
0.0000 0.0000 14.8168
0.0000 0.0000 4.5145
0.0000 0.0000 22.6547



Record 4
SrRePO (PBE-GGA, optimized geometry); energy = -7.01 eV per atom
1.0
4.0394 0.0000 0.0000
0.0000 6.7545 0.0000
0.0000 0.0000 6.0351
O Sr P Re
2 2 2 2
Cartesian
0.0000 4.4546 5.1885
0.0000 2.3000 2.1709
2.0197 1.1824 2.5983
2.0197 5.5721 5.6158
2.0197 4.8657 2.5459
2.0197 1.8888 5.5634
0.0000 2.7911 0.2529
0.0000 3.9634 3.2705



Record 5
CsPb5W3 (PBE-GGA, optimized geometry); energy = -6.12 eV per atom
1.0
5.6605 0.0000 0.0000
-2.8303 4.9022 0.0000
0.0000 0.0000 9.4709
Cs W Pb
1 3 5
Cartesian
0.0000 0.0000 0.0000
-1.4151 2.4511 4.7355
1.4151 2.4511 4.7355
2.8303 0.0000 4.7355
2.8303 1.6341 2.2136
0.0000 3.2681 2.2136
0.0000 0.0000 4.7355
2.8303 1.6341 7.2574
0.0000 3.2681 7.2574



Record 6
PuUTc (PBE-GGA, optimized geometry); energy = -12.06 eV per atom; ΔH_f (0 K) = -136 meV/atom
1.0
-1.6866 1.6866 4.9846
1.6866 -1.6866 4.9846
1.6866 1.6866 -4.9846
U Tc Pu
1 1 1
Cartesian
0.0000 0.0000 9.4810
0.0000 0.0000 2.8922
0.0000 0.0000 6.0697



Record 7
RbFeCuSeS2 (PBE-GGA, optimized geometry); energy = -4.57 eV per atom
1.0
6.6440 0.0349 4.0917
-6.8798 2.9524 -2.1994
-4.3380 -4.8306 7.0850
Rb Fe S Se Cu
2 2 4 2 2
Cartesian
2.0546 -0.4167 4.2326
-6.6284 -1.4266 4.7448
-0.1179 1.4937 0.9462
-2.2869 -0.9216 4.4887
-7.5495 0.4276 1.7029
-5.7023 2.4845 -1.3139
1.1285 -4.3278 10.2913
2.9756 -2.2709 7.2744
-2.4841 -2.3207 6.6727
-2.0898 0.4774 2.3046
2.8469 -3.4708 9.1526
-7.4207 1.6275 -0.1752



Record 8
MgBeFeW (PBE-GGA, optimized geometry); energy = -6.47 eV per atom
1.0
0.7941 1.7233 3.6954
-2.7353 -0.3856 3.1025
0.8898 -2.4074 3.2663
Mg Fe Be W
1 1 1 1
Cartesian
-0.5257 -0.5349 5.0321
-0.2629 -0.2674 2.5161
-0.7886 -0.8023 7.5482
0.0000 0.0000 0.0000